PBE Pr2Dy2CCl5, optimized geometry; calculated total energy = -54.1 eV for the cell shown; total magnetization = 0.1 Bohr magnetons per cell
1.0
-8.111 3.796 -0.005
-8.934 0.179 -0.600
1.458 -1.578 7.569
Cl Pr Dy C
5 2 2 1
Cartesian
-13.984 3.039 0.855 Cl
-2.161 0.052 2.665 Cl
-7.794 1.199 3.482 Cl
-13.426 2.345 4.299 Cl
-1.603 -0.642 6.110 Cl
-10.950 2.442 0.292 Pr
-4.637 -0.045 6.673 Pr
-16.726 3.641 0.988 Dy
1.139 -1.243 5.976 Dy
-8.523 1.988 -0.302 C